Entry 1:
SrAlAs2: relaxed, GGA-PBE.

Computed properties:
Total DFT energy (no corrections) = -16.1 eV per formula unit
Energy relative to the elements = -332 meV/atom
Space group = Cmmm (65)

Unit cell a=3.7595 b=3.7595 c=6.4573 alpha=90.00 beta=90.00 gamma=89.84
Closest atoms and distances in Å follow each position.
Fractional coordinates of all 4 atoms:
1 Sr 0.5000 0.5000 0.2500  2 Al 3.23, 8 As 3.28-3.29
2 As 0.0000 0.0000 0.9515  1 As 2.60
3 As 0.0000 0.0000 0.5485  1 As 2.60
4 Al 0.5000 0.5000 0.7500  8 As 2.96, 2 Sr 3.23

=====

Entry 2:
Fe2SiNi2: relaxed, GGA-PBE.

Computed properties:
Total DFT energy (no corrections) = -33.4 eV per formula unit
Space group = P4/mbm (127)
Uncorrected formation energy = 0.1051 eV/atom

Unit cell a=5.7393 b=5.7393 c=3.6742 alpha=90.00 beta=90.00 gamma=90.00
Closest atoms and distances in Å follow each position.
Fractional coordinates of all 10 atoms:
1 Ni 0.1563 0.6563 0.5000  6 Fe 2.49-2.50, 1 Ni 2.54
2 Ni 0.6563 0.8437 0.5000  6 Fe 2.49-2.50, 1 Ni 2.54
3 Ni 0.8437 0.3437 0.5000  6 Fe 2.49-2.50, 1 Ni 2.54
4 Ni 0.3437 0.1563 0.5000  6 Fe 2.49-2.50, 1 Ni 2.54
5 Si 0.0000 0.0000 0.0000  4 Fe 2.23
6 Si 0.5000 0.5000 0.0000  4 Fe 2.23
7 Fe 0.3625 0.8625 0.0000  2 Si 2.23, 1 Fe 2.23, 2 Ni 2.49
8 Fe 0.8625 0.6375 0.0000  2 Si 2.23, 1 Fe 2.23, 2 Ni 2.49
9 Fe 0.6375 0.1375 0.0000  2 Si 2.23, 1 Fe 2.23, 2 Ni 2.49
10 Fe 0.1375 0.3625 0.0000  2 Si 2.23, 1 Fe 2.23, 2 Ni 2.49

=====

Entry 3:
Pm2Pr2Sn: relaxed, GGA-PBE.

Computed properties:
Total DFT energy (no corrections) = -22.2 eV per formula unit
Energy relative to the elements = 167 meV/atom
Space group = I4/mmm (139)

Unit cell a=4.4352 b=4.4352 c=9.4456 alpha=103.58 beta=103.58 gamma=90.00
Closest atoms and distances in Å follow each position.
Fractional coordinates of all 5 atoms:
1 Pm 0.4170 0.4170 0.8341  1 Pm 2.96
2 Pm 0.5830 0.5830 0.1659  1 Pm 2.96
3 Pr 0.7500 0.2500 0.5000  4 Pr 3.14
4 Pr 0.2500 0.7500 0.5000  4 Pr 3.14
5 Sn 0.0000 0.0000 0.0000  8 Pm 3.47

=====

Entry 4:
AcIn2AgPd2: relaxed, GGA-PBE.

Computed properties:
Total DFT energy (no corrections) = -24.6 eV per formula unit
Energy relative to the elements = -293 meV/atom
Space group = I4/mmm (139)

Unit cell a=5.2900 b=5.2900 c=6.8139 alpha=112.84 beta=112.84 gamma=90.00
Closest atoms and distances in Å follow each position.
Fractional coordinates of all 6 atoms:
1 Ac 0.5000 0.5000 0.0000  2 Pd 3.02
2 In 0.2500 0.7500 0.5000  4 Pd 2.65
3 In 0.7500 0.2500 0.5000  4 Pd 2.65
4 Ag 0.0000 0.0000 0.0000  2 Pd 2.68
5 Pd 0.7650 0.7650 0.5299  4 In 2.65, 1 Ag 2.68
6 Pd 0.2350 0.2350 0.4701  4 In 2.65, 1 Ag 2.68

=====

Entry 5:
AcY4Er2: relaxed, GGA-PBE.

Computed properties:
Total DFT energy (no corrections) = -38.7 eV per formula unit
Energy relative to the elements = 49 meV/atom
Space group = P1 (1)

Unit cell a=7.1730 b=8.7198 c=8.9371 alpha=114.94 beta=101.15 gamma=101.60
Closest atoms and distances in Å follow each position.
Fractional coordinates of all 14 atoms:
1 Ac 0.2206 0.6807 0.4519  5 Er 3.59-3.89, 8 Y 3.65-3.89
2 Ac 0.9187 0.0006 0.8893  9 Y 3.47-3.83, 3 Er 3.62-3.69
3 Y 0.6253 0.1291 0.6023  4 Er 3.38-3.61, 5 Y 3.55-3.74, 1 Ac 3.68
4 Y 0.5294 0.5643 0.7745  4 Er 3.57-3.96, 7 Y 3.57-3.88, 2 Ac 3.83-3.89
5 Y 0.3328 0.2395 0.3164  7 Y 3.42-3.63, 3 Er 3.51-3.76, 2 Ac 3.76-3.82
6 Y 0.8275 0.2441 0.3169  4 Er 3.42-3.72, 6 Y 3.54-3.64, 2 Ac 3.77-3.79
7 Y 0.0282 0.5631 0.7785  3 Er 3.55-3.63, 7 Y 3.57-3.94, 2 Ac 3.80-3.87
8 Y 0.9424 0.8366 0.1833  4 Er 3.19-3.57, 1 Ac 3.47, 1 Y 3.57
9 Y 0.3083 0.4144 0.0375  4 Er 3.20-3.54, 2 Y 3.42-3.50
10 Y 0.4282 0.0174 0.9098  2 Er 3.34-3.50, 4 Y 3.50-3.70, 3 Ac 3.59-3.65
11 Er 0.7119 0.6692 0.4270  5 Y 3.53-3.87, 2 Er 3.54-3.63, 3 Ac 3.59-3.67
12 Er 0.1326 0.1420 0.6067  8 Y 3.36-3.66, 1 Ac 3.69
13 Er 0.8012 0.4142 0.0339  7 Y 3.19-3.57, 1 Er 3.54
14 Er 0.4430 0.8348 0.1721  6 Y 3.20-3.58